Below is Ce3Nd2Ga4 after structural relaxation, with properties calculated at the GGA-PBE level.

a = 7.675 Å, b = 8.053 Å, c = 8.082 Å
α = 90.00°, β = 90.00°, γ = 107.38°
Last column: magnetic moment on the atom in μB.
Fractional positions:
Ga: 0.634 0.921 0.034  -0.02
Ce: 0.500 0.500 0.000  0.52
Ce: 0.753 0.757 0.324  0.47
Ga: 0.866 0.079 0.534  -0.02
Ga: 0.366 0.079 0.966  -0.02
Ce: 0.000 0.500 0.500  0.52
Ga: 0.378 0.490 0.378  -0.01
Nd: 0.429 0.810 0.678  0.03
Ce: 0.747 0.243 0.824  0.47
Ga: 0.134 0.921 0.466  -0.02
Ce: 0.247 0.243 0.676  0.47
Nd: 0.071 0.190 0.178  0.03
Ga: 0.122 0.510 0.878  -0.01
Ga: 0.622 0.510 0.622  -0.01
Ga: 0.878 0.490 0.122  -0.01
Nd: 0.929 0.810 0.822  0.03
Nd: 0.571 0.190 0.322  0.03
Ce: 0.253 0.757 0.176  0.47

## Properties
total energy = -4.84 eV/atom
M_tot = 1.86 μB/f.u.



Below is YZn2Sb2 after structural relaxation, with properties calculated at the GGA-PBE level.

a = 5.160 Å, b = 5.160 Å, c = 5.809 Å
α = 63.63°, β = 63.63°, γ = 90.00°
Fractional positions:
Zn: 0.367 0.367 0.267
Y: 0.000 0.000 0.000
Sb: 0.750 0.250 0.500
Sb: 0.250 0.750 0.500
Zn: 0.633 0.633 0.733

## Properties
total energy = -3.67 eV/atom
M_tot = 0.00 μB/f.u.



Below is Ac2HfSi3Rh12 after structural relaxation, with properties calculated at the GGA-PBE level.

a = 7.429 Å, b = 7.429 Å, c = 7.429 Å
α = 68.39°, β = 68.39°, γ = 68.39°
Fractional positions:
Si: 0.000 0.500 0.000
Rh: 0.858 0.858 0.378
Rh: 0.347 0.904 0.347
Si: 0.500 0.000 0.000
Rh: 0.378 0.858 0.858
Rh: 0.904 0.347 0.347
Rh: 0.653 0.653 0.096
Rh: 0.622 0.142 0.142
Rh: 0.347 0.347 0.904
Si: 0.000 0.000 0.500
Rh: 0.142 0.142 0.622
Ac: 0.395 0.395 0.395
Rh: 0.096 0.653 0.653
Rh: 0.142 0.622 0.142
Ac: 0.605 0.605 0.605
Rh: 0.858 0.378 0.858
Hf: 0.000 0.000 0.000
Rh: 0.653 0.096 0.653

## Properties
total energy = -7.01 eV/atom
M_tot = 0.00 μB/f.u.